# Cs3NiIr

A relaxed Cs3NiIr crystal (PBE, the Alexandria database).

a = 6.225 Å, b = 6.225 Å, c = 6.225 Å
α = 90.00°, β = 90.00°, γ = 90.00°
Last column: magnetic moment on the atom in μB.
Positions (direct):
Cs 0.000 0.000 0.500  0.00
Cs 0.500 0.000 0.000  0.01
Cs 0.000 0.500 0.000  0.00
Ni 0.500 0.500 0.500  -0.91
Ir 0.000 0.000 0.000  -0.03

Results
formation enthalpy at 0 K = 1.06 eV per atom
excess energy over the best structure of this formula in the dataset = 0 meV per atom
DOS at the Fermi energy = 5.4 states/eV/cell